Entry 1:
# PmSmI (PBE, optimized geometry)
# Uncorrected formation energy, eV/atom: -0.55
# Density of states at the Fermi level, states/eV/f.u.: 3.754
data_PmSmI
_symmetry_space_group_name_H-M 'P 3 m 1'
_symmetry_Int_Tables_number 156
_cell_length_a 3.9098
_cell_length_b 3.9098
_cell_length_c 7.7673
_cell_angle_alpha 90.00
_cell_angle_beta 90.00
_cell_angle_gamma 120.00
loop_
_symmetry_equiv_pos_as_xyz
'x,y,z'
'-y,x-y,z'
'-x+y,-x,z'
'-y,-x,z'
'-x+y,y,z'
'x,x-y,z'
loop_
_atom_site_label
_atom_site_type_symbol
_atom_site_fract_x
_atom_site_fract_y
_atom_site_fract_z
_atom_site_occupancy
Pm1 Pm 0.0000 0.0000 0.0000 1
Sm1 Sm 0.3333 0.6667 0.6452 1
I1 I 0.6667 0.3333 0.3243 1

***

Entry 2:
# Pm2SmI8 (PBE, optimized geometry)
# Uncorrected formation energy, eV/atom: -1.24
# Density of states at the Fermi level, states/eV/f.u.: 1.079
data_Pm2SmI8
_symmetry_space_group_name_H-M 'C 1 2/m 1'
_symmetry_Int_Tables_number 12
_cell_length_a 19.622
_cell_length_b 8.824
_cell_length_c 7.423
_cell_angle_alpha 90.00
_cell_angle_beta 96.59
_cell_angle_gamma 90.00
loop_
_symmetry_equiv_pos_as_xyz
'x,y,z'
'-x,-y,-z'
'-x,y,-z'
'x,-y,z'
'x+1/2,y+1/2,z'
'-x+1/2,-y+1/2,-z'
'-x+1/2,y+1/2,-z'
'x+1/2,-y+1/2,z'
loop_
_atom_site_label
_atom_site_type_symbol
_atom_site_fract_x
_atom_site_fract_y
_atom_site_fract_z
_atom_site_occupancy
Pm1 Pm 0.145 0.000 0.422 1
Sm1 Sm 0.000 0.000 0.000 1
I1 I 0.059 0.259 0.260 1
I2 I 0.141 0.000 0.831 1
I3 I 0.212 0.500 0.649 1

***

Entry 3:
# PmSmTeI (PBE, optimized geometry)
# Uncorrected formation energy, eV/atom: -1.08
# Density of states at the Fermi level, states/eV/f.u.: 2.954
data_PmSmTeI
_symmetry_space_group_name_H-M 'F -4 3 m'
_symmetry_Int_Tables_number 216
_symmetry_space_group_name_Hall 'F -4 2 3'
_cell_length_a 7.694
_cell_length_b 7.694
_cell_length_c 7.694
_cell_angle_alpha 90.00
_cell_angle_beta 90.00
_cell_angle_gamma 90.00
loop_
_atom_site_label
_atom_site_type_symbol
_atom_site_fract_x
_atom_site_fract_y
_atom_site_fract_z
_atom_site_occupancy
Pm1 Pm 0.000 0.000 0.000 1
Sm1 Sm 0.000 0.000 0.500 1
Te1 Te 0.250 0.250 0.250 1
I1 I 0.250 0.250 0.750 1

***

Entry 4:
# PmSmTlI (PBE, optimized geometry)
# Uncorrected formation energy, eV/atom: -0.47
# Density of states at the Fermi level, states/eV/f.u.: 2.315
data_PmSmTlI
_symmetry_space_group_name_H-M 'F -4 3 m'
_symmetry_Int_Tables_number 216
_symmetry_space_group_name_Hall 'F -4 2 3'
_cell_length_a 7.824
_cell_length_b 7.824
_cell_length_c 7.824
_cell_angle_alpha 90.00
_cell_angle_beta 90.00
_cell_angle_gamma 90.00
loop_
_atom_site_label
_atom_site_type_symbol
_atom_site_fract_x
_atom_site_fract_y
_atom_site_fract_z
_atom_site_occupancy
Pm1 Pm 0.000 0.000 0.000 1
Sm1 Sm 0.000 0.000 0.500 1
Tl1 Tl 0.250 0.250 0.250 1
I1 I 0.250 0.250 0.750 1

***

Entry 5:
# Pm2SnI2 (PBE, optimized geometry)
# Uncorrected formation energy, eV/atom: -1.14
# Density of states at the Fermi level, states/eV/f.u.: 1.453
data_Pm2SnI2
_symmetry_space_group_name_H-M 'R -3 m'
_symmetry_Int_Tables_number 166
_symmetry_space_group_name_Hall '-R 3 2"'
_cell_length_a 4.4850
_cell_length_b 4.4850
_cell_length_c 34.1939
_cell_angle_alpha 90.00
_cell_angle_beta 90.00
_cell_angle_gamma 120.00
loop_
_atom_site_label
_atom_site_type_symbol
_atom_site_fract_x
_atom_site_fract_y
_atom_site_fract_z
_atom_site_occupancy
Pm1 Pm 0.0000 0.0000 0.1150 1
Sn1 Sn 0.0000 0.0000 0.5000 1
I1 I 0.0000 0.0000 0.2755 1

***

Entry 6:
# PmSnI5 (PBE, optimized geometry)
# Uncorrected formation energy, eV/atom: -0.99
# Density of states at the Fermi level, states/eV/f.u.: 0.000
data_PmSnI5
_symmetry_space_group_name_H-M 'P 1 21/m 1'
_symmetry_Int_Tables_number 11
_cell_length_a 9.232
_cell_length_b 4.533
_cell_length_c 15.166
_cell_angle_alpha 90.00
_cell_angle_beta 94.62
_cell_angle_gamma 90.00
loop_
_symmetry_equiv_pos_as_xyz
'x,y,z'
'-x,-y,-z'
'-x,y+1/2,-z'
'x,-y+1/2,z'
loop_
_atom_site_label
_atom_site_type_symbol
_atom_site_fract_x
_atom_site_fract_y
_atom_site_fract_z
_atom_site_occupancy
Pm1 Pm 0.092 0.250 0.150 1
Sn1 Sn 0.401 0.750 0.368 1
I1 I 0.116 0.250 0.794 1
I2 I 0.147 0.250 0.365 1
I3 I 0.180 0.750 0.014 1
I4 I 0.358 0.750 0.570 1
I5 I 0.424 0.250 0.187 1

***

Entry 7:
# Pm2SnI (PBE, optimized geometry)
# Uncorrected formation energy, eV/atom: -0.86
# Density of states at the Fermi level, states/eV/f.u.: 2.097
data_Pm2SnI
_symmetry_space_group_name_H-M 'R -3 m'
_symmetry_Int_Tables_number 166
_symmetry_space_group_name_Hall '-R 3 2"'
_cell_length_a 4.5585
_cell_length_b 4.5585
_cell_length_c 22.3226
_cell_angle_alpha 90.00
_cell_angle_beta 90.00
_cell_angle_gamma 120.00
loop_
_atom_site_label
_atom_site_type_symbol
_atom_site_fract_x
_atom_site_fract_y
_atom_site_fract_z
_atom_site_occupancy
Pm1 Pm 0.0000 0.0000 0.2390 1
Sn1 Sn 0.0000 0.0000 0.5000 1
I1 I 0.0000 0.0000 0.0000 1

***

Entry 8:
# Pm2SnI (PBE, optimized geometry)
# Uncorrected formation energy, eV/atom: -0.75
# Density of states at the Fermi level, states/eV/f.u.: 3.056
data_Pm2SnI
_symmetry_space_group_name_H-M 'P 4/m m m'
_symmetry_Int_Tables_number 123
_symmetry_space_group_name_Hall '-P 4 2'
_cell_length_a 3.696
_cell_length_b 3.696
_cell_length_c 8.503
_cell_angle_alpha 90.00
_cell_angle_beta 90.00
_cell_angle_gamma 90.00
loop_
_atom_site_label
_atom_site_type_symbol
_atom_site_fract_x
_atom_site_fract_y
_atom_site_fract_z
_atom_site_occupancy
Pm1 Pm 0.000 0.000 0.242 1
Sn1 Sn 0.500 0.500 0.000 1
I1 I 0.500 0.500 0.500 1